1.
Crystalline Bi2SeBr2O at its relaxed geometry, computed with PBE-GGA.

```
Bi2SeBr2O
1.0
4.0297 0.0000 0.0000
0.0000 8.1067 0.0000
0.0000 0.0000 11.5498
Se O Bi Br
2 2 4 4
Cartesian
0.0000 0.0718 4.9009
0.0000 4.1252 6.6489
2.0148 1.2215 7.3064
2.0148 5.2749 4.2434
0.0000 1.8971 8.4388
0.0000 5.9504 3.1110
2.0148 3.1881 4.9013
2.0148 7.2414 6.6485
0.0000 2.9949 2.5569
2.0148 3.1564 10.1744
2.0148 7.2098 1.3754
0.0000 7.0482 8.9929
```

Computed properties:
VASP energy   -4.031 eV per atom

***

2.
Crystalline Sm4AgRu2 at its relaxed geometry, computed with PBE-GGA.

```
Sm4AgRu2
1.0
6.8117 -0.8048 -0.1601
-1.2196 7.7007 0.1391
-2.6496 -3.5483 6.7521
Sm Ru Ag
8 4 2
Cartesian
2.8215 -2.4234 5.3762
2.1382 -0.9230 2.4207
1.4940 2.9525 0.9042
-0.2494 2.3566 6.2279
3.1081 1.9885 3.8937
-0.6019 -2.0074 4.6296
-1.2330 0.6701 2.4921
4.9367 3.7388 0.8636
1.1195 0.1106 4.9056
3.5057 1.0459 0.6957
-2.2826 0.5091 5.2483
2.9387 4.8698 2.6218
0.0514 3.5470 3.4292
-3.2780 3.9024 6.8703
```

Computed properties:
VASP energy   -5.964 eV per atom

***

3.
Crystalline GdEr2N at its relaxed geometry, computed with PBE-GGA.

```
GdEr2N
1.0
-2.1368 -1.7799 1.4660
-1.1801 -0.8729 -2.7800
5.5331 -6.8146 -0.2090
Gd Er N
1 2 1
Cartesian
1.1081 -4.7337 -0.7615
0.8811 -1.0852 -0.0333
4.6519 -5.7294 -0.1757
-1.6585 -1.3264 -0.6570
```

Computed properties:
VASP energy   -8.097 eV per atom

***

4.
Crystalline Be2ZnCoAg at its relaxed geometry, computed with PBE-GGA.

```
Be2ZnCoAg
1.0
-1.9792 -2.2850 2.6277
2.8982 -2.7564 -0.2140
2.1587 2.0080 3.3720
Be Co Ag Zn
2 1 1 1
Cartesian
-0.9896 -1.1425 1.3138
1.4491 -1.3782 -0.1070
0.0000 0.0000 0.0000
1.5388 -1.5167 2.8929
1.0793 1.0040 1.6860
```

Computed properties:
VASP energy   -3.217 eV per atom